Record 1
The following is a SCAN calculation of AlGa2Au2 at its PBEsol-relaxed geometry, from Alexandria.

Properties
energy of formation = -144 meV/atom

Cell lengths 3.724, 3.724, 6.891 Å; angles 105.68, 105.68, 90.00 degrees
Fractional coordinates of all 5 atoms:
Al1 0.000 0.000 0.000
Au1 0.396 0.396 0.793
Au2 0.604 0.604 0.207
Ga1 0.250 0.750 0.500
Ga2 0.750 0.250 0.500

Record 2
The following is a SCAN calculation of AlGa3Au at its PBEsol-relaxed geometry, from Alexandria.

Properties
energy of formation = 507 meV/atom

Cell lengths 4.815, 4.815, 4.815 Å; angles 90.00, 90.00, 90.00 degrees
Fractional coordinates of all 5 atoms:
Ga1 0.000 0.000 0.500
Ga2 0.500 0.000 0.000
Ga3 0.000 0.500 0.000
Au1 0.500 0.500 0.500
Al1 0.000 0.000 0.000

Among the records above, which one has the lowest energy of formation? AlGa2Au2